Model 1:
Material: Ba3TlH
Method: DFT, PBE-GGA
State: optimized geometry

Cell and atoms, written as extended XYZ:
```
10
Lattice="4.598 -0.001 0.000 -2.298 7.810 0.000 0.000 0.000 11.481" Properties=species:S:1:pos:R:3 pbc="T T T"
Tl 3.449 0.205 8.611
Ba 1.149 3.090 8.611
Ba 1.151 4.719 2.870
Tl -1.149 7.604 2.870
H -1.150 4.414 8.611
Ba 3.450 1.673 4.912
Ba 3.450 1.673 0.829
Ba -1.149 6.136 10.652
H 3.450 3.395 2.870
Ba -1.149 6.136 6.569
```

Calculated values
- Fermi-level density of states: 0.92 states/eV/atom



Model 2:
Material: Ba3TlH
Method: DFT, PBE-GGA
State: optimized geometry

Cell and atoms, written as extended XYZ:
```
5
Lattice="-2.078 5.133 1.136 -3.517 -2.265 3.802 3.907 0.690 4.026" Properties=species:S:1:pos:R:3 pbc="T T T"
H 0.000 0.000 0.000
Ba 1.954 0.345 2.013
Tl -0.844 1.779 4.482
Ba -1.759 -1.132 1.901
Ba -1.039 2.567 0.568
```

Calculated values
- Fermi-level density of states: 0.28 states/eV/atom



Bottom line: model 1, by a margin of 49 meV per atom.



Model 1:
Material: Ba2TlZnH
Method: DFT, PBE-GGA
State: optimized geometry

Cell and atoms, written as extended XYZ:
```
5
Lattice="-4.980 -0.757 -2.748 2.733 -2.840 -4.171 -0.623 -3.791 2.173" Properties=species:S:1:pos:R:3 pbc="T T T"
Ba -2.490 -0.379 -1.374
H 0.000 0.000 0.000
Ba 1.367 -1.420 -2.085
Zn -0.311 -1.896 1.087
Tl -1.435 -3.694 -2.373
```

Calculated values
- Fermi-level density of states: 0.56 states/eV/atom



Model 2:
Material: Ba2TlZnH
Method: DFT, PBE-GGA
State: optimized geometry

Cell and atoms, written as extended XYZ:
```
5
Lattice="-5.653 -0.567 -0.103 -0.029 -0.733 5.635 -0.471 4.590 0.594" Properties=species:S:1:pos:R:3 pbc="T T T"
Zn -3.077 1.645 3.063
Ba -0.014 -0.366 2.817
Ba -2.826 -0.283 -0.051
H 0.000 0.000 0.000
Tl -0.236 2.295 0.297
```

Calculated values
- Fermi-level density of states: 0.33 states/eV/atom



Bottom line: model 1, by a margin of 47 meV per atom.



Model 1:
Material: BaVH2
Method: DFT, PBE-GGA
State: optimized geometry

Cell and atoms, written as extended XYZ:
```
8
Lattice="5.743 0.000 0.000 0.000 5.743 0.000 2.871 2.871 3.994" Properties=species:S:1:pos:R:3 pbc="T T T"
H 7.178 6.543 2.996
H 3.672 1.436 0.999
H 2.071 4.307 0.999
Ba 0.000 0.000 0.000
Ba 5.743 2.871 1.997
V 2.871 5.743 1.997
H 4.307 4.942 2.996
V 2.871 2.871 0.000
```

Calculated values
- Fermi-level density of states: 1.30 states/eV/atom



Model 2:
Material: BaVH2
Method: DFT, PBE-GGA
State: optimized geometry

Cell and atoms, written as extended XYZ:
```
4
Lattice="0.000 3.274 3.274 3.274 0.000 3.274 3.274 3.274 0.000" Properties=species:S:1:pos:R:3 pbc="T T T"
V 0.000 0.000 0.000
Ba 3.274 3.274 3.274
H 1.637 1.637 1.637
H 4.912 4.912 4.912
```

Calculated values
- Fermi-level density of states: 0.72 states/eV/atom



Bottom line: model 1, by a margin of 400 meV per atom.



Model 1:
Material: BaH3W
Method: DFT, PBE-GGA
State: optimized geometry

Cell and atoms, written as extended XYZ:
```
5
Lattice="3.995 0.000 0.000 0.000 3.995 0.000 0.000 0.000 3.995" Properties=species:S:1:pos:R:3 pbc="T T T"
H 0.000 0.000 1.997
H 1.997 0.000 0.000
W 0.000 0.000 0.000
H 0.000 1.997 0.000
Ba 1.997 1.997 1.997
```

Calculated values
- Fermi-level density of states: 0.60 states/eV/atom



Model 2:
Material: BaH3W
Method: DFT, PBE-GGA
State: optimized geometry

Cell and atoms, written as extended XYZ:
```
5
Lattice="4.541 0.000 0.000 0.000 4.541 0.000 0.000 0.000 4.541" Properties=species:S:1:pos:R:3 pbc="T T T"
H 2.271 0.000 0.000
H 0.000 0.000 2.271
W 2.271 2.271 2.271
H 0.000 2.271 0.000
Ba 0.000 0.000 0.000
```

Calculated values
- Fermi-level density of states: 2.55 states/eV/atom



Bottom line: model 1, by a margin of 1621 meV per atom.



Model 1:
Material: Ba2HW
Method: DFT, PBE-GGA
State: optimized geometry

Cell and atoms, written as extended XYZ:
```
8
Lattice="7.797 0.000 0.000 0.000 7.797 0.000 3.898 3.898 4.042" Properties=species:S:1:pos:R:3 pbc="T T T"
W 0.000 0.000 0.000
Ba 2.570 5.848 1.011
Ba 5.227 1.949 1.011
Ba 5.848 6.468 3.032
H 3.898 7.797 2.021
H 3.898 3.898 0.000
W 7.797 3.898 2.021
Ba 9.746 9.125 3.032
```

Calculated values
- Fermi-level density of states: 0.64 states/eV/atom



Model 2:
Material: Ba2HW
Method: DFT, PBE-GGA
State: optimized geometry

Cell and atoms, written as extended XYZ:
```
4
Lattice="-3.863 1.138 3.826 -5.266 0.864 -1.542 -3.902 -3.763 1.212" Properties=species:S:1:pos:R:3 pbc="T T T"
H 0.000 0.000 0.000
W -6.516 -0.881 1.748
Ba -9.773 -1.321 2.622
Ba -3.258 -0.440 0.874
```

Calculated values
- Fermi-level density of states: 0.94 states/eV/atom



Bottom line: model 1, by a margin of 186 meV per atom.



Model 1:
Material: BaHW3
Method: DFT, PBE-GGA
State: optimized geometry

Cell and atoms, written as extended XYZ:
```
5
Lattice="5.039 0.000 0.000 0.000 5.039 0.000 0.000 0.000 5.039" Properties=species:S:1:pos:R:3 pbc="T T T"
H 2.520 2.520 2.520
Ba 0.000 0.000 0.000
W 0.000 2.520 0.000
W 2.520 0.000 0.000
W 0.000 0.000 2.520
```

Calculated values
- Fermi-level density of states: 1.73 states/eV/atom



Model 2:
Material: BaHW3
Method: DFT, PBE-GGA
State: optimized geometry

Cell and atoms, written as extended XYZ:
```
5
Lattice="4.364 0.000 0.000 0.000 4.364 0.000 0.000 0.000 4.364" Properties=species:S:1:pos:R:3 pbc="T T T"
W 0.000 0.000 2.182
H 0.000 0.000 0.000
W 2.182 0.000 0.000
Ba 2.182 2.182 2.182
W 0.000 2.182 0.000
```

Calculated values
- Fermi-level density of states: 1.93 states/eV/atom



Bottom line: model 2, by a margin of 2837 meV per atom.



Model 1:
Material: BaY3H
Method: DFT, PBE-GGA
State: optimized geometry

Cell and atoms, written as extended XYZ:
```
5
Lattice="-3.214 -3.970 1.078 1.840 -2.611 -4.129 3.679 -2.163 3.007" Properties=species:S:1:pos:R:3 pbc="T T T"
Y -1.607 -1.985 0.539
Y 0.920 -1.305 -2.065
H 0.000 0.000 0.000
Y 1.840 -1.081 1.503
Ba 1.152 -4.372 -0.022
```

Calculated values
- Fermi-level density of states: 1.29 states/eV/atom



Model 2:
Material: BaY3H
Method: DFT, PBE-GGA
State: optimized geometry

Cell and atoms, written as extended XYZ:
```
5
Lattice="5.832 0.000 0.000 0.000 5.832 0.000 0.000 0.000 5.832" Properties=species:S:1:pos:R:3 pbc="T T T"
Ba 0.000 0.000 0.000
H 2.916 2.916 2.916
Y 0.000 2.916 0.000
Y 2.916 0.000 0.000
Y 0.000 0.000 2.916
```

Calculated values
- Fermi-level density of states: 0.79 states/eV/atom



Bottom line: model 1, by a margin of 1596 meV per atom.



Model 1:
Material: BaZn2H6
Method: DFT, PBE-GGA
State: optimized geometry

Cell and atoms, written as extended XYZ:
```
9
Lattice="-0.657 -1.865 4.016 1.999 -4.562 -4.286 3.766 2.732 1.885" Properties=species:S:1:pos:R:3 pbc="T T T"
H 4.226 -2.880 1.850
H 0.883 -0.816 -0.234
H 2.193 -0.776 2.493
Zn 1.470 -2.206 -0.784
Zn 3.638 -1.490 2.399
Ba 1.883 1.366 0.942
H 1.158 -3.323 1.142
H 2.916 -2.919 -0.878
H 3.950 -0.373 0.473
```

Calculated values
- Fermi-level density of states: 0.00 states/eV/atom



Model 2:
Material: BaZn2H6
Method: DFT, PBE-GGA
State: optimized geometry

Cell and atoms, written as extended XYZ:
```
18
Lattice="4.276 5.880 -0.546 -4.276 5.880 -0.546 0.000 3.614 4.128" Properties=species:S:1:pos:R:3 pbc="T T T"
Zn -0.854 10.632 1.250
H 2.136 5.782 2.500
H -0.234 9.948 2.555
H 0.234 8.141 0.491
Zn 0.854 8.825 -0.814
H 0.234 5.425 0.481
H 0.229 4.069 3.094
H -2.136 3.975 0.436
Ba -2.137 6.783 0.486
H -0.234 7.232 2.545
Zn 0.854 4.742 1.786
H -0.229 11.305 -0.058
Zn -0.854 6.549 3.850
H -2.136 9.592 0.536
H -0.229 2.262 1.030
H 0.229 13.112 2.006
Ba 2.137 8.590 2.550
H 2.136 11.399 2.600
```

Calculated values
- Fermi-level density of states: 0.00 states/eV/atom



Bottom line: model 2, by a margin of 30 meV per atom.



Model 1:
Material: Ba3ZnH
Method: DFT, PBE-GGA
State: optimized geometry

Cell and atoms, written as extended XYZ:
```
5
Lattice="-2.222 4.988 1.353 -3.609 -0.443 -4.293 -3.700 -2.563 3.375" Properties=species:S:1:pos:R:3 pbc="T T T"
Ba -1.804 -0.222 -2.146
H 0.000 0.000 0.000
Zn -4.765 0.991 0.217
Ba -1.850 -1.282 1.687
Ba -1.111 2.494 0.676
```

Calculated values
- Fermi-level density of states: 1.59 states/eV/atom



Model 2:
Material: Ba3ZnH
Method: DFT, PBE-GGA
State: optimized geometry

Cell and atoms, written as extended XYZ:
```
10
Lattice="4.584 0.001 0.000 -2.287 7.499 0.000 0.000 0.000 11.453" Properties=species:S:1:pos:R:3 pbc="T T T"
Ba 3.440 1.610 4.845
Ba -1.144 5.891 6.608
H 3.439 3.369 2.863
Zn 3.433 0.057 8.590
Zn -1.136 7.444 2.863
Ba -1.144 5.891 10.571
H -1.142 4.131 8.590
Ba 1.147 4.686 2.863
Ba 1.149 2.815 8.590
Ba 3.440 1.610 0.882
```

Calculated values
- Fermi-level density of states: 0.86 states/eV/atom



Bottom line: model 2, by a margin of 121 meV per atom.



Model 1:
Material: BaZn2H
Method: DFT, PBE-GGA
State: optimized geometry

Cell and atoms, written as extended XYZ:
```
4
Lattice="-5.244 -0.278 0.444 -2.540 3.227 3.303 -3.015 3.880 -1.905" Properties=species:S:1:pos:R:3 pbc="T T T"
Zn -2.700 1.707 0.461
Zn -8.099 5.122 1.382
H 0.000 0.000 0.000
Ba -5.400 3.414 0.921
```

Calculated values
- Fermi-level density of states: 1.19 states/eV/atom



Model 2:
Material: BaZn2H
Method: DFT, PBE-GGA
State: optimized geometry

Cell and atoms, written as extended XYZ:
```
8
Lattice="6.189 0.000 0.000 0.000 6.189 0.000 3.095 3.095 4.366" Properties=species:S:1:pos:R:3 pbc="T T T"
Zn 7.737 6.191 3.274
Zn 4.642 6.187 3.274
Zn 3.093 4.642 1.091
Ba 6.189 3.095 2.183
Ba 0.000 0.000 0.000
H 3.095 6.189 2.183
Zn 3.097 1.547 1.091
H 3.095 3.095 0.000
```

Calculated values
- Fermi-level density of states: 0.78 states/eV/atom



Bottom line: model 2, by a margin of 297 meV per atom.



Model 1:
Material: Ba2ZrH2
Method: DFT, PBE-GGA
State: optimized geometry

Cell and atoms, written as extended XYZ:
```
5
Lattice="3.917 0.000 0.000 0.000 3.917 0.000 1.959 1.959 9.091" Properties=species:S:1:pos:R:3 pbc="T T T"
Ba 3.917 3.917 6.203
H 1.959 3.917 4.546
H 3.917 1.959 4.546
Zr 0.000 0.000 0.000
Ba 1.959 1.959 2.888
```

Calculated values
- Fermi-level density of states: 0.48 states/eV/atom



Model 2:
Material: Ba2ZrH2
Method: DFT, PBE-GGA
State: optimized geometry

Cell and atoms, written as extended XYZ:
```
10
Lattice="-2.128 -6.822 4.012 3.355 -4.540 -5.941 3.176 0.044 1.759" Properties=species:S:1:pos:R:3 pbc="T T T"
Ba 3.481 -4.244 -2.430
H 0.873 -2.605 -1.510
H 2.111 -6.284 -3.652
H -0.884 -5.078 1.723
Zr 0.000 0.000 0.000
Zr 0.614 -5.681 -0.964
H 0.354 -8.757 -0.418
Ba 1.487 -2.988 1.137
Ba 0.922 -7.074 2.260
Ba 2.916 -8.330 -1.307
```

Calculated values
- Fermi-level density of states: 0.76 states/eV/atom



Bottom line: model 1, by a margin of 125 meV per atom.



Model 1:
Material: Ba2ZrH2
Method: DFT, PBE-GGA
State: optimized geometry

Cell and atoms, written as extended XYZ:
```
5
Lattice="5.676 0.000 0.000 0.000 5.676 0.000 2.838 2.838 4.726" Properties=species:S:1:pos:R:3 pbc="T T T"
H 2.838 2.838 2.651
Ba 5.676 2.838 2.363
Ba 2.838 5.676 2.363
Zr 0.000 0.000 0.000
H 5.676 5.676 2.075
```

Calculated values
- Fermi-level density of states: 1.13 states/eV/atom



Model 2:
Material: Ba2ZrH2
Method: DFT, PBE-GGA
State: optimized geometry

Cell and atoms, written as extended XYZ:
```
10
Lattice="-4.020 -5.008 5.474 5.435 -6.226 -1.705 1.975 1.061 2.421" Properties=species:S:1:pos:R:3 pbc="T T T"
Zr 0.707 -5.617 1.885
Ba 0.239 -8.319 3.450
H 3.361 -8.064 3.041
H 0.029 -2.109 3.149
H -0.473 -6.341 5.413
Ba -1.779 -4.336 3.352
Ba 1.175 -2.914 0.319
H 3.862 -3.832 0.777
Ba 3.194 -6.897 0.417
Zr 0.000 0.000 0.000
```

Calculated values
- Fermi-level density of states: 0.64 states/eV/atom



Bottom line: model 1, by a margin of 324 meV per atom.